This record from the Alexandria database describes Tb2EuMg after structural relaxation. The functional is PBE-GGA.

Structure (CIF):
```
data_Tb2EuMg
_chemical_formula_sum 'Tb6 Eu3 Mg3'
_symmetry_space_group_name_H-M 'R -3 m'
_symmetry_Int_Tables_number 166
_symmetry_space_group_name_Hall '-R 3 2"'
_cell_length_a 3.6020
_cell_length_b 3.6020
_cell_length_c 34.3206
_cell_angle_alpha 90.00
_cell_angle_beta 90.00
_cell_angle_gamma 120.00
loop_
_atom_site_label
_atom_site_type_symbol
_atom_site_fract_x
_atom_site_fract_y
_atom_site_fract_z
Tb1 Tb 0.0000 0.0000 0.2433
Eu1 Eu 0.0000 0.0000 0.0000
Mg1 Mg 0.0000 0.0000 0.5000
```

Output
The formation energy is 69 meV per atom.


This record from the Alexandria database describes Tb2EuMg after structural relaxation. The functional is PBE-GGA.

Structure (CIF):
```
data_Tb2EuMg
_chemical_formula_sum 'Tb2 Eu1 Mg1'
_symmetry_space_group_name_H-M 'P 4/m m m'
_symmetry_Int_Tables_number 123
_symmetry_space_group_name_Hall '-P 4 2'
_cell_length_a 3.774
_cell_length_b 3.774
_cell_length_c 8.940
_cell_angle_alpha 90.00
_cell_angle_beta 90.00
_cell_angle_gamma 90.00
loop_
_atom_site_label
_atom_site_type_symbol
_atom_site_fract_x
_atom_site_fract_y
_atom_site_fract_z
Tb1 Tb 0.000 0.000 0.206
Eu1 Eu 0.500 0.500 0.500
Mg1 Mg 0.500 0.500 0.000
```

Output
The formation energy is 15 meV per atom.


This record from the Alexandria database describes Tb2EuMg after structural relaxation. The functional is PBE-GGA.

Structure (CIF):
```
data_Tb2EuMg
_chemical_formula_sum 'Tb2 Eu1 Mg1'
_symmetry_space_group_name_H-M 'P 4/m m m'
_symmetry_Int_Tables_number 123
_symmetry_space_group_name_Hall '-P 4 2'
_cell_length_a 5.466
_cell_length_b 5.466
_cell_length_c 4.179
_cell_angle_alpha 90.00
_cell_angle_beta 90.00
_cell_angle_gamma 90.00
loop_
_atom_site_label
_atom_site_type_symbol
_atom_site_fract_x
_atom_site_fract_y
_atom_site_fract_z
Tb1 Tb 0.000 0.500 0.000
Eu1 Eu 0.000 0.000 0.500
Mg1 Mg 0.500 0.500 0.500
```

Output
The formation energy is 83 meV per atom.


This record from the Alexandria database describes Tb2EuMg after structural relaxation. The functional is PBE-GGA.

Structure (CIF):
```
data_Tb2EuMg
_chemical_formula_sum 'Tb8 Eu4 Mg4'
_symmetry_space_group_name_H-M 'F m -3 m'
_symmetry_Int_Tables_number 225
_symmetry_space_group_name_Hall '-F 4 2 3'
_cell_length_a 7.917
_cell_length_b 7.917
_cell_length_c 7.917
_cell_angle_alpha 90.00
_cell_angle_beta 90.00
_cell_angle_gamma 90.00
loop_
_atom_site_label
_atom_site_type_symbol
_atom_site_fract_x
_atom_site_fract_y
_atom_site_fract_z
Tb1 Tb 0.250 0.250 0.250
Eu1 Eu 0.000 0.000 0.000
Mg1 Mg 0.000 0.000 0.500
```

Output
The formation energy is 75 meV per atom.